Computed, not measured: a geometry-optimized Sr2Li12Mg3Cd structure at the GGA-PBE level of DFT.

POSCAR file:
```
Sr2Li12Mg3Cd
1.0
3.1118 1.7966 13.8080
-3.1118 1.7966 13.8080
0.0000 -3.5932 13.8080
Sr Li Mg Cd
2 12 3 1
Direct
0.1469 0.1469 0.1469
0.8531 0.8531 0.8531
0.1029 0.1029 0.6283
0.1029 0.6283 0.1029
0.1231 0.6003 0.6003
0.3717 0.8971 0.8971
0.3997 0.3997 0.8769
0.3997 0.8769 0.3997
0.6003 0.1231 0.6003
0.6003 0.6003 0.1231
0.6283 0.1029 0.1029
0.8769 0.3997 0.3997
0.8971 0.3717 0.8971
0.8971 0.8971 0.3717
0.0000 0.5000 0.5000
0.5000 0.0000 0.5000
0.5000 0.5000 0.0000
0.5000 0.5000 0.5000
```

Output
symmetry = No. 166
crystal system = trigonal
energy of formation from the pure elements = 0.07 eV per atom
final energy = -1.705 eV/atom



Computed, not measured: a geometry-optimized La2SmMnSe5 structure at the GGA-PBE level of DFT.

POSCAR file:
```
La2SmMnSe5
1.0
2.0784 -8.8090 0.0000
2.0784 8.8090 0.0000
0.0000 0.0000 12.6923
La Sm Mn Se
4 2 2 10
Direct
0.1198 0.8802 0.5000
0.1206 0.8794 0.8496
0.8794 0.1206 0.3496
0.8802 0.1198 0.0000
0.1829 0.8171 0.1805
0.8171 0.1829 0.6806
0.4472 0.5528 0.5823
0.5528 0.4472 0.0823
0.0158 0.9842 0.1762
0.3026 0.6974 0.8436
0.3111 0.6889 0.5142
0.3476 0.6524 0.1734
0.4948 0.5052 0.9081
0.5052 0.4948 0.4081
0.6524 0.3476 0.6734
0.6889 0.3111 0.0142
0.6974 0.3026 0.3436
0.9842 0.0158 0.6762
```

Output
symmetry = No. 36
E_form (uncorrected) = -1.648 eV per atom
crystal system = orthorhombic
final energy = -6.222 eV/atom